(1)
# SrAc5Rh4 (GGA-PBE, optimized geometry)
data_SrAc5Rh4
_chemical_formula_sum 'Sr1 Ac5 Rh4'
_cell_length_a 4.366
_cell_length_b 8.375
_cell_length_c 9.370
_cell_angle_alpha 97.43
_cell_angle_beta 103.47
_cell_angle_gamma 90.00
_symmetry_space_group_name_H-M 'P 1'
_symmetry_Int_Tables_number 1
_symmetry_space_group_name_Hall 'P 1'
loop_
_atom_site_label
_atom_site_type_symbol
_atom_site_fract_x
_atom_site_fract_y
_atom_site_fract_z
Sr1 Sr 0.500 0.000 0.000
Ac1 Ac 0.834 0.718 0.667
Ac2 Ac 0.846 0.192 0.692
Ac3 Ac 0.154 0.808 0.308
Ac4 Ac 0.500 0.500 0.000
Ac5 Ac 0.166 0.282 0.333
Rh1 Rh 0.305 0.956 0.611
Rh2 Rh 0.994 0.722 0.989
Rh3 Rh 0.695 0.044 0.389
Rh4 Rh 0.006 0.278 0.011
# **DFT formation energy**: -479.0 kJ/mol of formula units
# **Final energy**: -5.659 eV/atom
# **Density of states at the Fermi level**: 5.253 states/eV/f.u.
# **M_tot**: 0.00 μB per formula unit

---

(2)
# SrAcRh2 (GGA-PBE, optimized geometry)
data_SrAcRh2
_chemical_formula_sum 'Sr1 Ac1 Rh2'
_cell_length_a 5.174
_cell_length_b 5.174
_cell_length_c 5.174
_cell_angle_alpha 60.00
_cell_angle_beta 60.00
_cell_angle_gamma 60.00
_symmetry_space_group_name_H-M 'P 1'
_symmetry_Int_Tables_number 1
_symmetry_space_group_name_Hall 'P 1'
loop_
_atom_site_label
_atom_site_type_symbol
_atom_site_fract_x
_atom_site_fract_y
_atom_site_fract_z
Sr1 Sr 0.500 0.500 0.500
Ac1 Ac 0.000 0.000 0.000
Rh1 Rh 0.250 0.250 0.250
Rh2 Rh 0.750 0.750 0.750
# **DFT formation energy**: -129.7 kJ/mol of formula units
# **Final energy**: -5.459 eV/atom
# **Density of states at the Fermi level**: 2.056 states/eV/f.u.
# **M_tot**: 0.00 μB per formula unit
# **Excess energy over the best structure of this formula in the dataset**: 0.27 eV per formula unit

---

(3)
# SrAc2Rh2 (GGA-PBE, optimized geometry)
data_SrAc2Rh2
_chemical_formula_sum 'Sr2 Ac4 Rh4'
_cell_length_a 4.647
_cell_length_b 5.902
_cell_length_c 11.587
_cell_angle_alpha 79.48
_cell_angle_beta 90.00
_cell_angle_gamma 90.00
_symmetry_space_group_name_H-M 'P 1'
_symmetry_Int_Tables_number 1
_symmetry_space_group_name_Hall 'P 1'
loop_
_atom_site_label
_atom_site_type_symbol
_atom_site_fract_x
_atom_site_fract_y
_atom_site_fract_z
Sr1 Sr 0.250 0.551 0.214
Sr2 Sr 0.750 0.449 0.786
Ac1 Ac 0.250 0.876 0.888
Ac2 Ac 0.750 0.124 0.112
Ac3 Ac 0.250 0.230 0.541
Ac4 Ac 0.750 0.770 0.459
Rh1 Rh 0.250 0.701 0.623
Rh2 Rh 0.750 0.299 0.377
Rh3 Rh 0.250 0.338 0.977
Rh4 Rh 0.750 0.662 0.023
# **DFT formation energy**: -232.4 kJ/mol of formula units
# **Final energy**: -5.402 eV/atom
# **Density of states at the Fermi level**: 2.324 states/eV/f.u.
# **M_tot**: 0.00 μB per formula unit
# **Excess energy over the best structure of this formula in the dataset**: 0.10 eV per formula unit

---

(4)
# SrAcRh (GGA-PBE, optimized geometry)
data_SrAcRh
_chemical_formula_sum 'Sr2 Ac2 Rh2'
_cell_length_a 5.900
_cell_length_b 6.136
_cell_length_c 5.899
_cell_angle_alpha 90.00
_cell_angle_beta 90.00
_cell_angle_gamma 90.02
_symmetry_space_group_name_H-M 'P 1'
_symmetry_Int_Tables_number 1
_symmetry_space_group_name_Hall 'P 1'
loop_
_atom_site_label
_atom_site_type_symbol
_atom_site_fract_x
_atom_site_fract_y
_atom_site_fract_z
Sr1 Sr 0.752 0.538 0.252
Sr2 Sr 0.252 0.470 0.752
Ac1 Ac 0.752 0.004 0.752
Ac2 Ac 0.252 0.004 0.252
Rh1 Rh 0.753 0.053 0.252
Rh2 Rh 0.252 0.954 0.752
# **DFT formation energy**: -129.6 kJ/mol of formula units
# **Final energy**: -4.828 eV/atom
# **Density of states at the Fermi level**: 1.180 states/eV/f.u.
# **M_tot**: 0.00 μB per formula unit
# **Excess energy over the best structure of this formula in the dataset**: 0.06 eV per formula unit

---

(5)
# SrAc2TlRh (GGA-PBE, optimized geometry)
data_SrAc2TlRh
_chemical_formula_sum 'Sr1 Ac2 Tl1 Rh1'
_cell_length_a 5.715
_cell_length_b 5.716
_cell_length_c 5.837
_cell_angle_alpha 90.00
_cell_angle_beta 90.00
_cell_angle_gamma 90.00
_symmetry_space_group_name_H-M 'P 1'
_symmetry_Int_Tables_number 1
_symmetry_space_group_name_Hall 'P 1'
loop_
_atom_site_label
_atom_site_type_symbol
_atom_site_fract_x
_atom_site_fract_y
_atom_site_fract_z
Sr1 Sr 0.000 0.000 0.499
Ac1 Ac 0.000 0.500 0.999
Ac2 Ac 0.500 0.000 0.999
Tl1 Tl 0.500 0.500 0.504
Rh1 Rh 0.000 0.000 0.999
# **DFT formation energy**: -159.6 kJ/mol of formula units
# **Final energy**: -4.254 eV/atom
# **Density of states at the Fermi level**: 4.528 states/eV/f.u.
# **M_tot**: 0.00 μB per formula unit

---

(6)
# AcTbRh (GGA-PBE, optimized geometry)
data_AcTbRh
_chemical_formula_sum 'Ac1 Tb1 Rh1'
_cell_length_a 3.630
_cell_length_b 3.630
_cell_length_c 7.060
_cell_angle_alpha 104.90
_cell_angle_beta 104.90
_cell_angle_gamma 90.00
_symmetry_space_group_name_H-M 'P 1'
_symmetry_Int_Tables_number 1
_symmetry_space_group_name_Hall 'P 1'
loop_
_atom_site_label
_atom_site_type_symbol
_atom_site_fract_x
_atom_site_fract_y
_atom_site_fract_z
Rh1 Rh 0.680 0.680 0.359
Ac1 Ac 0.031 0.031 0.063
Tb1 Tb 0.289 0.289 0.578
# **DFT formation energy**: -123.5 kJ/mol of formula units
# **Final energy**: -5.790 eV/atom
# **Density of states at the Fermi level**: 3.207 states/eV/f.u.
# **M_tot**: 0.00 μB per formula unit
# **Excess energy over the best structure of this formula in the dataset**: 0.38 eV per formula unit

---

(7)
# AcTbRh (GGA-PBE, optimized geometry)
data_AcTbRh
_chemical_formula_sum 'Ac2 Tb2 Rh2'
_cell_length_a 4.876
_cell_length_b 4.945
_cell_length_c 7.259
_cell_angle_alpha 90.00
_cell_angle_beta 82.58
_cell_angle_gamma 90.01
_symmetry_space_group_name_H-M 'P 1'
_symmetry_Int_Tables_number 1
_symmetry_space_group_name_Hall 'P 1'
loop_
_atom_site_label
_atom_site_type_symbol
_atom_site_fract_x
_atom_site_fract_y
_atom_site_fract_z
Ac1 Ac 0.797 0.867 0.533
Ac2 Ac 0.330 0.366 0.306
Tb1 Tb 0.829 0.366 0.912
Tb2 Tb 0.298 0.866 0.927
Rh1 Rh 0.737 0.866 0.135
Rh2 Rh 0.390 0.366 0.704
# **DFT formation energy**: -160.6 kJ/mol of formula units
# **Final energy**: -5.918 eV/atom
# **Density of states at the Fermi level**: 2.548 states/eV/f.u.
# **M_tot**: 0.00 μB per formula unit
# **Excess energy over the best structure of this formula in the dataset**: 0.00 eV per formula unit

---

(8)
# AcTbRh (GGA-PBE, optimized geometry)
data_AcTbRh
_chemical_formula_sum 'Ac1 Tb1 Rh1'
_cell_length_a 5.040
_cell_length_b 5.040
_cell_length_c 5.040
_cell_angle_alpha 60.00
_cell_angle_beta 60.00
_cell_angle_gamma 60.00
_symmetry_space_group_name_H-M 'P 1'
_symmetry_Int_Tables_number 1
_symmetry_space_group_name_Hall 'P 1'
loop_
_atom_site_label
_atom_site_type_symbol
_atom_site_fract_x
_atom_site_fract_y
_atom_site_fract_z
Rh1 Rh 0.250 0.250 0.250
Ac1 Ac 0.000 0.000 0.000
Tb1 Tb 0.500 0.500 0.500
# **DFT formation energy**: -125.1 kJ/mol of formula units
# **Final energy**: -5.795 eV/atom
# **Density of states at the Fermi level**: 3.197 states/eV/f.u.
# **M_tot**: 0.00 μB per formula unit
# **Excess energy over the best structure of this formula in the dataset**: 0.37 eV per formula unit

---

Copy entry 7 word for word.
# AcTbRh (GGA-PBE, optimized geometry)
data_AcTbRh
_chemical_formula_sum 'Ac2 Tb2 Rh2'
_cell_length_a 4.876
_cell_length_b 4.945
_cell_length_c 7.259
_cell_angle_alpha 90.00
_cell_angle_beta 82.58
_cell_angle_gamma 90.01
_symmetry_space_group_name_H-M 'P 1'
_symmetry_Int_Tables_number 1
_symmetry_space_group_name_Hall 'P 1'
loop_
_atom_site_label
_atom_site_type_symbol
_atom_site_fract_x
_atom_site_fract_y
_atom_site_fract_z
Ac1 Ac 0.797 0.867 0.533
Ac2 Ac 0.330 0.366 0.306
Tb1 Tb 0.829 0.366 0.912
Tb2 Tb 0.298 0.866 0.927
Rh1 Rh 0.737 0.866 0.135
Rh2 Rh 0.390 0.366 0.704
# **DFT formation energy**: -160.6 kJ/mol of formula units
# **Final energy**: -5.918 eV/atom
# **Density of states at the Fermi level**: 2.548 states/eV/f.u.
# **M_tot**: 0.00 μB per formula unit
# **Excess energy over the best structure of this formula in the dataset**: 0.00 eV per formula unit

---

Q: density of states at the Fermi level of number 5 (SrAc2TlRh)?
A: 4.528 states/eV/f.u.